! Er5Te2Os2 (PBE-GGA, relaxed); values from VASP
&SYSTEM
  ibrav = 0, nat = 18, ntyp = 3
/
ATOMIC_SPECIES
Er 167.26 Er.upf
Te 127.60 Te.upf
Os 190.23 Os.upf
CELL_PARAMETERS angstrom
7.8963 -3.8415 0.0000
7.8963 3.8415 0.0000
0.0000 0.0000 7.6327
ATOMIC_POSITIONS crystal
Er 0.0000 0.0000 0.0000
Er 0.0556 0.7080 0.6716
Er 0.2080 0.5556 0.1716
Er 0.2920 0.9444 0.6716
Er 0.4444 0.7920 0.1716
Er 0.5000 0.5000 0.5000
Er 0.5556 0.2080 0.8284
Er 0.7080 0.0556 0.3284
Er 0.7920 0.4444 0.8284
Er 0.9444 0.2920 0.3284
Te 0.2126 0.2126 0.0000
Te 0.2874 0.2874 0.5000
Te 0.7126 0.7126 0.5000
Te 0.7874 0.7874 0.0000
Os 0.1185 0.8815 0.3840
Os 0.3815 0.6185 0.8840
Os 0.6185 0.3815 0.1160
Os 0.8815 0.1185 0.6160
! E_tot (eV for the cell shown): -116.96
! Energy relative to the elements, uncorrected (eV/f.u.): -6.9

---

! PmNdY3Tm (PBE-GGA, relaxed); values from VASP
&SYSTEM
  ibrav = 0, nat = 12, ntyp = 4
/
ATOMIC_SPECIES
Pm 145.00 Pm.upf
Nd 144.24 Nd.upf
Y 88.91 Y.upf
Tm 168.93 Tm.upf
CELL_PARAMETERS angstrom
2.5382 -7.6178 0.0000
2.5382 7.6178 0.0000
0.0000 0.0000 10.1547
ATOMIC_POSITIONS crystal
Pm 0.0011 0.9989 0.7500
Pm 0.9989 0.0011 0.2500
Nd 0.5000 0.5000 0.0000
Nd 0.5000 0.5000 0.5000
Y 0.1675 0.8325 0.9998
Y 0.1675 0.8325 0.5002
Y 0.3320 0.6680 0.7500
Y 0.6680 0.3320 0.2500
Y 0.8325 0.1675 0.0002
Y 0.8325 0.1675 0.4998
Tm 0.3326 0.6674 0.2500
Tm 0.6674 0.3326 0.7500
! E_tot (eV for the cell shown): -66.50

---

! Tm2Co2Ru (PBE-GGA, relaxed); values from VASP
&SYSTEM
  ibrav = 0, nat = 10, ntyp = 3
/
ATOMIC_SPECIES
Tm 168.93 Tm.upf
Co 58.93 Co.upf
Ru 101.07 Ru.upf
CELL_PARAMETERS angstrom
6.4677 0.0000 0.0000
0.0000 6.4677 0.0000
0.0000 0.0000 4.1470
ATOMIC_POSITIONS crystal
Tm 0.1834 0.3166 0.0000
Tm 0.3166 0.8166 0.0000
Tm 0.6834 0.1834 0.0000
Tm 0.8166 0.6834 0.0000
Co 0.1229 0.6229 0.5000
Co 0.3771 0.1229 0.5000
Co 0.6229 0.8771 0.5000
Co 0.8771 0.3771 0.5000
Ru 0.0000 0.0000 0.5000
Ru 0.5000 0.5000 0.5000
! E_tot (eV for the cell shown): -66.65

---

! BaGa2Ni (PBE-GGA, relaxed); values from VASP
&SYSTEM
  ibrav = 0, nat = 8, ntyp = 3
/
ATOMIC_SPECIES
Ba 137.33 Ba.upf
Ga 69.72 Ga.upf
Ni 58.69 Ni.upf
CELL_PARAMETERS angstrom
-2.7887 2.7887 7.1605
2.7887 -2.7887 7.1605
2.7887 2.7887 -7.1605
ATOMIC_POSITIONS crystal
Ba 0.3750 0.6250 0.7500
Ba 0.6250 0.3750 0.2500
Ga 0.0000 0.0000 0.0000
Ga 0.0000 0.0000 0.5000
Ga 0.0000 0.5000 0.0000
Ga 0.5000 0.0000 0.5000
Ni 0.1250 0.8750 0.2500
Ni 0.8750 0.1250 0.7500
! E_tot (eV for the cell shown): -29.78

---

! Tb4Mg5Sc (PBE-GGA, relaxed); values from VASP
&SYSTEM
  ibrav = 0, nat = 10, ntyp = 3
/
ATOMIC_SPECIES
Tb 158.93 Tb.upf
Mg 24.30 Mg.upf
Sc 44.96 Sc.upf
CELL_PARAMETERS angstrom
3.7504 0.0000 0.0000
0.0000 3.7504 0.0000
0.0000 0.0000 18.9011
ATOMIC_POSITIONS crystal
Tb 0.0000 0.0000 0.1024
Tb 0.0000 0.0000 0.3065
Tb 0.0000 0.0000 0.6935
Tb 0.0000 0.0000 0.8976
Mg 0.5000 0.5000 0.0000
Mg 0.5000 0.5000 0.2043
Mg 0.5000 0.5000 0.4105
Mg 0.5000 0.5000 0.5895
Mg 0.5000 0.5000 0.7957
Sc 0.0000 0.0000 0.5000
! E_tot (eV for the cell shown): -33.53

---

! AcNiH3 (PBE-GGA, relaxed); values from VASP
&SYSTEM
  ibrav = 0, nat = 10, ntyp = 3
/
ATOMIC_SPECIES
Ac 227.00 Ac.upf
Ni 58.69 Ni.upf
H 1.01 H.upf
CELL_PARAMETERS angstrom
4.9424 0.0000 0.0000
0.0000 5.0210 0.0000
-1.4208 0.0000 4.8741
ATOMIC_POSITIONS crystal
Ac 0.1913 0.2500 0.3022
Ac 0.8087 0.7500 0.6978
Ni 0.4539 0.7500 0.0708
Ni 0.5461 0.2500 0.9292
H 0.2648 0.7500 0.2896
H 0.3116 0.5042 0.8179
H 0.3116 0.9958 0.8179
H 0.6884 0.0042 0.1821
H 0.6884 0.4958 0.1821
H 0.7352 0.2500 0.7104
! E_tot (eV for the cell shown): -43.75
! ΔE to the lowest computed polymorph (meV/atom): 14

---

! Na3InRh (PBE-GGA, relaxed); values from VASP
&SYSTEM
  ibrav = 0, nat = 5, ntyp = 3
/
ATOMIC_SPECIES
Na 22.99 Na.upf
In 114.82 In.upf
Rh 102.91 Rh.upf
CELL_PARAMETERS angstrom
5.3454 0.0000 0.0000
0.0000 5.3454 0.0000
0.0000 0.0000 5.3454
ATOMIC_POSITIONS crystal
Na 0.0000 0.0000 0.5000
Na 0.0000 0.5000 0.0000
Na 0.5000 0.0000 0.0000
In 0.5000 0.5000 0.5000
Rh 0.0000 0.0000 0.0000
! E_tot (eV for the cell shown): -11.55
! ΔE to the lowest computed polymorph (meV/atom): 0

---

! LiTmGa2 (PBE-GGA, relaxed); values from VASP
&SYSTEM
  ibrav = 0, nat = 4, ntyp = 3
/
ATOMIC_SPECIES
Li 6.94 Li.upf
Tm 168.93 Tm.upf
Ga 69.72 Ga.upf
CELL_PARAMETERS angstrom
3.3337 0.0000 0.0000
0.0000 3.3337 0.0000
0.0000 0.0000 6.7116
ATOMIC_POSITIONS crystal
Li 0.0000 0.0000 0.0000
Tm 0.0000 0.0000 0.5000
Ga 0.5000 0.5000 0.2077
Ga 0.5000 0.5000 0.7923
! E_tot (eV for the cell shown): -14.16
! ΔE to the lowest computed polymorph (meV/atom): 56

---

Number 1: N(E_F) 0.38 states/eV per atom, total moment 0.000 μB/atom. Number 2: N(E_F) 1.48 states/eV per atom, total moment 0.000 μB/atom. Number 3: N(E_F) 1.23 states/eV per atom, total moment 0.193 μB/atom. Number 4: N(E_F) 0.11 states/eV per atom, total moment 0.000 μB/atom. Number 5: N(E_F) 1.42 states/eV per atom, total moment 0.000 μB/atom. Number 6: N(E_F) 0.22 states/eV per atom, total moment 0.000 μB/atom. Number 7: N(E_F) 0.63 states/eV per atom, total moment 0.000 μB/atom. Number 8: N(E_F) 0.46 states/eV per atom, total moment 0.029 μB/atom.